Sr2ReMoO6: optimized geometry, PBE+U.

Lattice parameters (Å, degrees): 5.748 5.748 8.116 90.00 90.00 90.00
Space group I4/mmm (No. 139)
One atom of each set of equivalent atoms:
1 Sr 0.000 0.500 0.250 [4 per cell]
2 Re 0.000 0.000 0.000 [2 per cell]
3 Mo 0.000 0.000 0.500 [2 per cell]
4 O 0.000 0.000 0.242 [4 per cell]
5 O 0.242 0.242 0.000 [8 per cell]

Values from the calculation:
- total DFT energy (no corrections) (eV per cell) = -148.8